Computed, not measured: a relaxed CaCd3Re crystal at the GGA-PBE level of DFT.

Calculated values
ΔH_f (0 K) ... 572 meV per atom
Electronic total energy ... -2.87 eV per atom
ΔE to the lowest computed polymorph ... 0.00 eV per formula unit
Spin magnetization ... 0.00 μB per cell

Cell lengths 5.2252, 5.2252, 5.2252 Å; angles 90.00, 90.00, 90.00 degrees
With the nearest neighbours (Å) after each atom.
Space group Pm-3m (No. 221)
One atom of each set of equivalent atoms:
Ca  0.0000  0.0000  0.0000 x1  12 Cd 3.69
Cd  0.0000  0.5000  0.5000 x3  2 Re 2.61
Re  0.5000  0.5000  0.5000 x1  6 Cd 2.61

Computed, not measured: a relaxed K3Y2MnSe6 crystal at the GGA-PBE level of DFT.

Calculated values
Electronic total energy ... -5.24 eV per atom
Spin magnetization ... 8.00 μB per cell

Cell lengths 7.1320, 12.3557, 8.0237 Å; angles 90.00, 107.30, 90.00 degrees
With the nearest neighbours (Å) after each atom.
Space group C2/m (No. 12)
One atom of each set of equivalent atoms:
K  0.0000  0.0000  0.0000 x2  6 Se 3.27-3.42
K  0.0000  0.3302  0.0000 x4  6 Se 3.27-3.40
Y  0.0000  0.1662  0.5000 x4  6 Se 2.88-2.89
Mn  0.0000  0.5000  0.5000 x2  6 Se 2.70
Se  0.2223  0.3435  0.6978 x8  1 Mn 2.70, 2 Y 2.89
Se  0.2466  0.5000  0.3011 x4  1 Mn 2.70, 2 Y 2.88